Entry 1:
{
  "formula": "PuCuHgO5",
  "functional": "PBE-GGA",
  "state": "relaxed",
  "cell": [[3.335, -5.196, 0.000], [3.335, 5.196, 0.000], [-3.008, 0.000, 7.127]],
  "species": ["Pu", "Pu", "Cu", "Cu", "Hg", "Hg", "O", "O", "O", "O", "O", "O", "O", "O", "O", "O"],
  "fractional_positions": [[0.000, 0.500, 0.000], [0.500, 0.000, 0.500], [0.041, 0.959, 0.750], [0.959, 0.041, 0.250], [0.434, 0.566, 0.750], [0.566, 0.434, 0.250], [0.119, 0.788, 0.924], [0.196, 0.332, 0.860], [0.212, 0.881, 0.576], [0.313, 0.687, 0.250], [0.332, 0.196, 0.360], [0.668, 0.804, 0.640], [0.687, 0.313, 0.750], [0.788, 0.119, 0.424], [0.804, 0.668, 0.140], [0.881, 0.212, 0.076]],
  "dft_energy_ev_per_cell": -109.9,
  "magnetic_moment_mub_per_atom": 0.12,
  "spacegroup": "C2/c (15)"
}

Entry 2:
{
  "formula": "ZnSnO2",
  "functional": "PBE-GGA",
  "state": "relaxed",
  "cell": [[1.572, 0.908, 6.224], [-1.572, 0.908, 6.224], [0.000, -1.815, 6.224]],
  "species": ["Zn", "Sn", "O", "O"],
  "fractional_positions": [[0.000, 0.000, 0.000], [0.500, 0.500, 0.500], [0.391, 0.391, 0.391], [0.609, 0.609, 0.609]],
  "dft_energy_ev_per_cell": -19.2,
  "relative_energy_mev_per_atom": 258,
  "magnetic_moment_mub_per_atom": 0.00,
  "spacegroup": "R-3m (166)"
}

Entry 3:
{
  "formula": "Co2IrPt2",
  "functional": "PBE-GGA",
  "state": "relaxed",
  "cell": [[7.264, 0.000, 0.000], [0.000, 7.264, 0.000], [0.000, 0.000, 2.720]],
  "species": ["Co", "Co", "Co", "Co", "Ir", "Ir", "Pt", "Pt", "Pt", "Pt"],
  "fractional_positions": [[0.166, 0.334, 0.000], [0.334, 0.834, 0.000], [0.666, 0.166, 0.000], [0.834, 0.666, 0.000], [0.000, 0.000, 0.500], [0.500, 0.500, 0.500], [0.133, 0.633, 0.500], [0.367, 0.133, 0.500], [0.633, 0.867, 0.500], [0.867, 0.367, 0.500]],
  "formation_enthalpy_0k_mev_per_atom": 235,
  "dft_energy_ev_per_cell": -68.0,
  "relative_energy_mev_per_atom": 0,
  "magnetic_moment_mub_per_atom": 1.13,
  "spacegroup": "P4/mbm (127)"
}

Entry 4:
{
  "formula": "TmPu2Pb3",
  "functional": "PBE-GGA",
  "state": "relaxed",
  "cell": [[3.473, 0.000, 0.000], [0.000, 3.473, 0.000], [0.000, 0.000, 13.800]],
  "species": ["Tm", "Pu", "Pu", "Pb", "Pb", "Pb"],
  "fractional_positions": [[0.000, 0.000, 0.000], [0.000, 0.000, 0.331], [0.000, 0.000, 0.669], [0.500, 0.500, 0.161], [0.500, 0.500, 0.500], [0.500, 0.500, 0.839]],
  "formation_enthalpy_0k_mev_per_atom": -242,
  "dft_energy_ev_per_cell": -45.7,
  "magnetic_moment_mub_per_atom": 2.00,
  "spacegroup": "P4/mmm (123)"
}

Entry 5:
{
  "formula": "CuAs2P",
  "functional": "PBE-GGA",
  "state": "relaxed",
  "cell": [[-1.689, 1.835, 5.560], [1.689, -1.835, 5.560], [1.689, 1.835, -5.560]],
  "species": ["Cu", "As", "As", "P"],
  "fractional_positions": [[0.000, 0.000, 0.000], [0.428, 0.428, 0.000], [0.665, 0.165, 0.500], [0.257, 0.757, 0.500]],
  "formation_enthalpy_0k_mev_per_atom": 340,
  "dft_energy_ev_per_cell": -17.4,
  "magnetic_moment_mub_per_atom": 0.00,
  "spacegroup": "Imm2 (44)"
}

Entry 6:
{
  "formula": "InReTeI2",
  "functional": "PBE-GGA",
  "state": "relaxed",
  "cell": [[6.638, 0.000, 0.000], [0.000, 6.638, 0.000], [0.000, 0.000, 4.996]],
  "species": ["In", "Re", "Te", "I", "I"],
  "fractional_positions": [[0.000, 0.000, 0.000], [0.500, 0.500, 0.000], [0.500, 0.500, 0.500], [0.000, 0.500, 0.500], [0.500, 0.000, 0.500]],
  "dft_energy_ev_per_cell": -16.7,
  "relative_energy_mev_per_atom": 506,
  "magnetic_moment_mub_per_atom": 0.61,
  "spacegroup": "P4/mmm (123)"
}

Entry 7:
{
  "formula": "NaCaY3",
  "functional": "PBE-GGA",
  "state": "relaxed",
  "cell": [[5.715, 0.000, 0.000], [0.000, 5.715, 0.000], [0.000, 0.000, 5.715]],
  "species": ["Na", "Ca", "Y", "Y", "Y"],
  "fractional_positions": [[0.000, 0.000, 0.000], [0.500, 0.500, 0.500], [0.000, 0.000, 0.500], [0.000, 0.500, 0.000], [0.500, 0.000, 0.000]],
  "formation_enthalpy_0k_mev_per_atom": 707,
  "dft_energy_ev_per_cell": -19.2,
  "relative_energy_mev_per_atom": 0,
  "magnetic_moment_mub_per_atom": 0.39,
  "spacegroup": "Pm-3m (221)"
}

Entry 8:
{
  "formula": "NaZrTl2Ag",
  "functional": "PBE-GGA",
  "state": "relaxed",
  "cell": [[5.210, 0.000, 0.000], [0.000, 5.210, 0.000], [0.000, 0.000, 5.302]],
  "species": ["Na", "Zr", "Tl", "Tl", "Ag"],
  "fractional_positions": [[0.000, 0.000, 0.000], [0.000, 0.000, 0.500], [0.000, 0.500, 0.000], [0.500, 0.000, 0.000], [0.500, 0.500, 0.500]],
  "formation_enthalpy_0k_mev_per_atom": 1048,
  "dft_energy_ev_per_cell": -12.2,
  "magnetic_moment_mub_per_atom": 0.01,
  "spacegroup": "P4/mmm (123)"
}

Entry 9:
{
  "formula": "Be2CoCu",
  "functional": "PBE-GGA",
  "state": "relaxed",
  "cell": [[-1.600, 1.600, 3.711], [1.600, -1.600, 3.711], [1.600, 1.600, -3.711]],
  "species": ["Be", "Be", "Co", "Cu"],
  "fractional_positions": [[0.000, 0.000, 0.000], [0.750, 0.250, 0.500], [0.250, 0.750, 0.500], [0.500, 0.500, 0.000]],
  "formation_enthalpy_0k_mev_per_atom": -67,
  "dft_energy_ev_per_cell": -18.9,
  "magnetic_moment_mub_per_atom": 0.13,
  "spacegroup": "I-4m2 (119)"
}

Entry 10:
{
  "formula": "Ce2InSi2Ru5",
  "functional": "PBE-GGA",
  "state": "relaxed",
  "cell": [[10.092, 0.000, 0.000], [0.000, 10.092, 0.000], [0.000, 0.000, 3.367]],
  "species": ["Ce", "Ce", "Ce", "Ce", "In", "In", "Si", "Si", "Si", "Si", "Ru", "Ru", "Ru", "Ru", "Ru", "Ru", "Ru", "Ru", "Ru", "Ru"],
  "fractional_positions": [[0.175, 0.325, 0.000], [0.325, 0.825, 0.000], [0.675, 0.175, 0.000], [0.825, 0.675, 0.000], [0.000, 0.000, 0.000], [0.500, 0.500, 0.000], [0.123, 0.623, 0.000], [0.377, 0.123, 0.000], [0.623, 0.877, 0.000], [0.877, 0.377, 0.000], [0.000, 0.500, 0.500], [0.070, 0.783, 0.500], [0.217, 0.070, 0.500], [0.283, 0.570, 0.500], [0.430, 0.283, 0.500], [0.500, 0.000, 0.500], [0.570, 0.717, 0.500], [0.717, 0.430, 0.500], [0.783, 0.930, 0.500], [0.930, 0.217, 0.500]],
  "dft_energy_ev_per_cell": -155.1,
  "magnetic_moment_mub_per_atom": 0.00,
  "spacegroup": "P4/mbm (127)"
}

Entry 11:
{
  "formula": "SnHgAu",
  "functional": "PBE-GGA",
  "state": "relaxed",
  "cell": [[5.538, -2.016, 0.000], [5.538, 2.016, 0.000], [-4.867, 0.000, 6.455]],
  "species": ["Sn", "Sn", "Hg", "Hg", "Au", "Au"],
  "fractional_positions": [[0.068, 0.068, 0.334], [0.932, 0.932, 0.666], [0.348, 0.348, 0.967], [0.652, 0.652, 0.033], [0.335, 0.335, 0.359], [0.665, 0.665, 0.641]],
  "formation_enthalpy_0k_mev_per_atom": -45,
  "dft_energy_ev_per_cell": -15.4,
  "magnetic_moment_mub_per_atom": 0.00,
  "spacegroup": "C2/m (12)"
}

Entry 12:
{
  "formula": "CrHgCl4",
  "functional": "PBE-GGA",
  "state": "relaxed",
  "cell": [[0.000, 4.200, 4.200], [4.200, 0.000, 4.200], [4.200, 4.200, 0.000]],
  "species": ["Cr", "Hg", "Cl", "Cl", "Cl", "Cl"],
  "fractional_positions": [[0.000, 0.000, 0.000], [0.750, 0.750, 0.750], [0.375, 0.375, 0.375], [0.375, 0.375, 0.875], [0.375, 0.875, 0.375], [0.875, 0.375, 0.375]],
  "dft_energy_ev_per_cell": -14.1,
  "relative_energy_mev_per_atom": 1322,
  "magnetic_moment_mub_per_atom": 1.02,
  "spacegroup": "F-43m (216)"
}

Please write out number 12 again, unchanged.
{
  "formula": "CrHgCl4",
  "functional": "PBE-GGA",
  "state": "relaxed",
  "cell": [[0.000, 4.200, 4.200], [4.200, 0.000, 4.200], [4.200, 4.200, 0.000]],
  "species": ["Cr", "Hg", "Cl", "Cl", "Cl", "Cl"],
  "fractional_positions": [[0.000, 0.000, 0.000], [0.750, 0.750, 0.750], [0.375, 0.375, 0.375], [0.375, 0.375, 0.875], [0.375, 0.875, 0.375], [0.875, 0.375, 0.375]],
  "dft_energy_ev_per_cell": -14.1,
  "relative_energy_mev_per_atom": 1322,
  "magnetic_moment_mub_per_atom": 1.02,
  "spacegroup": "F-43m (216)"
}